Model w:
A relaxed structure of ReAsBr2. Source: Alexandria via LeMat-Bulk, functional GGA-PBE.

As for the density of states at the Fermi level: 0.8 states/eV/f.u.

The space group is Cm (No. 8) and the conventional cell measures 8.811, 3.207 and 7.854 Å, with angles of 90.00, 107.62 and 90.00 degrees. Symmetry generates all atoms from Re at (0.000, 0.000, 0.000), As at (0.219, 0.500, 0.000), Br at (0.046, 0.500, 0.281) and Br at (0.395, 0.000, 0.720).


Model x:
A relaxed structure of ReAsBr2. Source: Alexandria via LeMat-Bulk, functional GGA-PBE.

As for the density of states at the Fermi level: 4.2 states/eV/f.u.

The space group is Imm2 (No. 44) and the conventional cell measures 3.114, 4.950 and 12.870 Å, with angles of 90.00, 90.00 and 90.00 degrees. Symmetry generates all atoms from Re at (0.000, 0.000, 0.000), As at (0.000, 0.500, 0.649), Br at (0.000, 0.000, 0.513) and Br at (0.000, 0.500, 0.332).


Model y:
A relaxed structure of ReAsBr2. Source: Alexandria via LeMat-Bulk, functional GGA-PBE.

As for the density of states at the Fermi level: 2.5 states/eV/f.u.

The space group is Pmmm (No. 47) and the conventional cell measures 3.139, 4.625 and 5.740 Å, with angles of 90.00, 90.00 and 90.00 degrees. Symmetry generates all atoms from Re at (0.000, 0.000, 0.000), As at (0.500, 0.000, 0.500), Br at (0.000, 0.500, 0.500) and Br at (0.500, 0.500, 0.000).


Result of the stability comparison: model y is the least stable of them.


Model w:
A relaxed structure of ReAsBr2. Source: Alexandria via LeMat-Bulk, functional GGA-PBE.

As for the density of states at the Fermi level: 3.6 states/eV/f.u.

The space group is P4mm (No. 99) and the conventional cell measures 3.077, 3.077 and 9.476 Å, with angles of 90.00, 90.00 and 90.00 degrees. Symmetry generates all atoms from Re at (0.000, 0.000, 0.000), As at (0.500, 0.500, 0.157), Br at (0.000, 0.000, 0.468) and Br at (0.500, 0.500, 0.816).


Model x:
A relaxed structure of ReAsBr2. Source: Alexandria via LeMat-Bulk, functional GGA-PBE.

As for the density of states at the Fermi level: 3.0 states/eV/f.u.

The space group is R3m (No. 160, hexagonal axes) and the conventional cell measures 3.3619, 3.3619 and 27.3290 Å, with angles of 90.00, 90.00 and 120.00 degrees. Symmetry generates all atoms from Re at (0.0000, 0.0000, 0.0000), As at (0.0000, 0.0000, 0.7242), Br at (0.0000, 0.0000, 0.2637) and Br at (0.0000, 0.0000, 0.4712).


Model y:
A relaxed structure of ReAsBr2. Source: Alexandria via LeMat-Bulk, functional GGA-PBE.

As for the density of states at the Fermi level: 1.4 states/eV/f.u.

The space group is Pmm2 (No. 25) and the conventional cell measures 3.061, 3.793 and 8.940 Å, with angles of 90.00, 90.00 and 90.00 degrees. Symmetry generates all atoms from Re at (0.000, 0.000, 0.000), As at (0.500, 0.500, 0.924), Br at (0.000, 0.000, 0.268) and Br at (0.500, 0.500, 0.641).


Result of the stability comparison: model w is the least stable of them.


Model w:
A relaxed structure of Re2AsBr. Source: Alexandria via LeMat-Bulk, functional GGA-PBE.

As for the density of states at the Fermi level: 2.7 states/eV/f.u.

The space group is Imm2 (No. 44) and the conventional cell measures 2.929, 4.344 and 11.045 Å, with angles of 90.00, 90.00 and 90.00 degrees. Symmetry generates all atoms from Re at (0.000, 0.000, 0.000), Re at (0.000, 0.500, 0.307), As at (0.000, 0.500, 0.737) and Br at (0.000, 0.000, 0.537).


Model x:
A relaxed structure of Re2AsBr. Source: Alexandria via LeMat-Bulk, functional GGA-PBE.

As for the density of states at the Fermi level: 3.2 states/eV/f.u.

The space group is I-4m2 (No. 119) and the conventional cell measures 4.169, 4.169 and 7.599 Å, with angles of 90.00, 90.00 and 90.00 degrees. Symmetry generates all atoms from Re at (0.000, 0.000, 0.000), Re at (0.000, 0.500, 0.250), As at (0.000, 0.500, 0.750) and Br at (0.000, 0.000, 0.500).


Model y:
A relaxed structure of Re2AsBr. Source: Alexandria via LeMat-Bulk, functional GGA-PBE.

As for the density of states at the Fermi level: 2.3 states/eV/f.u.

The space group is P4mm (No. 99) and the conventional cell measures 2.963, 2.963 and 8.789 Å, with angles of 90.00, 90.00 and 90.00 degrees. Symmetry generates all atoms from Re at (0.000, 0.000, 0.000), Re at (0.500, 0.500, 0.192), As at (0.000, 0.000, 0.389) and Br at (0.500, 0.500, 0.794).


Model z:
A relaxed structure of Re2AsBr. Source: Alexandria via LeMat-Bulk, functional GGA-PBE.

As for the density of states at the Fermi level: 3.2 states/eV/f.u.

The space group is C2/m (No. 12) and the conventional cell measures 5.347, 9.032 and 3.354 Å, with angles of 90.00, 122.83 and 90.00 degrees. Symmetry generates all atoms from Re at (0.250, 0.250, 0.000), As at (0.000, 0.000, 0.500) and Br at (0.000, 0.500, 0.500).


Result of the stability comparison: model x is the least stable of them.


Model w:
A relaxed structure of Re2AsBr. Source: Alexandria via LeMat-Bulk, functional GGA-PBE.

As for the density of states at the Fermi level: 4.3 states/eV/f.u.

The space group is P2/m (No. 10) and the conventional cell measures 4.395, 2.987 and 5.273 Å, with angles of 90.00, 113.30 and 90.00 degrees. Symmetry generates all atoms from Re at (0.000, 0.000, 0.000), Re at (0.000, 0.500, 0.500), As at (0.500, 0.000, 0.500) and Br at (0.500, 0.500, 0.000).


Model x:
A relaxed structure of Re2AsBr. Source: Alexandria via LeMat-Bulk, functional GGA-PBE.

As for the density of states at the Fermi level: 5.0 states/eV/f.u.

The space group is Cmmm (No. 65) and the conventional cell measures 2.968, 5.283 and 8.652 Å, with angles of 90.00, 90.00 and 90.00 degrees. Symmetry generates all atoms from Re at (0.000, 0.000, 0.229), As at (0.000, 0.500, 0.000) and Br at (0.000, 0.500, 0.500).


Model y:
A relaxed structure of Re2AsBr. Source: Alexandria via LeMat-Bulk, functional GGA-PBE.

As for the density of states at the Fermi level: 3.2 states/eV/f.u.

The space group is P2/m (No. 10) and the conventional cell measures 4.157, 3.926 and 5.711 Å, with angles of 90.00, 94.12 and 90.00 degrees. Symmetry generates all atoms from Re at (0.198, 0.000, 0.370), As at (0.500, 0.500, 0.500) and Br at (0.000, 0.500, 0.000).


Result of the stability comparison: model x is the least stable of them.


Model w:
A relaxed structure of Re2AsBr. Source: Alexandria via LeMat-Bulk, functional GGA-PBE.

As for the density of states at the Fermi level: 3.6 states/eV/f.u.

The space group is I-42d (No. 122) and the conventional cell measures 5.680, 5.680 and 10.701 Å, with angles of 90.00, 90.00 and 90.00 degrees. Symmetry generates all atoms from Re at (0.250, 0.250, 0.125), As at (0.000, 0.000, 0.000) and Br at (0.000, 0.000, 0.500).


Model x:
A relaxed structure of Re2AsBr. Source: Alexandria via LeMat-Bulk, functional GGA-PBE.

As for the density of states at the Fermi level: 3.9 states/eV/f.u.

The space group is C2/m (No. 12) and the conventional cell measures 8.266, 3.079 and 5.624 Å, with angles of 90.00, 105.14 and 90.00 degrees. Symmetry generates all atoms from Re at (0.242, 0.000, 0.191), As at (0.000, 0.500, 0.000) and Br at (0.000, 0.000, 0.500).


Result of the stability comparison: model w is the least stable of them.


Model w:
A relaxed structure of Re2AsBr. Source: Alexandria via LeMat-Bulk, functional GGA-PBE.

As for the density of states at the Fermi level: 4.6 states/eV/f.u.

The space group is R3m (No. 160, hexagonal axes) and the conventional cell measures 2.9817, 2.9817 and 29.5748 Å, with angles of 90.00, 90.00 and 120.00 degrees. Symmetry generates all atoms from Re at (0.0000, 0.0000, 0.0000), Re at (0.0000, 0.0000, 0.2620), As at (0.0000, 0.0000, 0.7328) and Br at (0.0000, 0.0000, 0.5266).


Model x:
A relaxed structure of Re2AsBr. Source: Alexandria via LeMat-Bulk, functional GGA-PBE.

As for the density of states at the Fermi level: 3.7 states/eV/f.u.

The space group is Cmm2 (No. 35) and the conventional cell measures 2.928, 4.974 and 10.330 Å, with angles of 90.00, 90.00 and 90.00 degrees. Symmetry generates all atoms from Re at (0.000, 0.000, 0.000), Re at (0.000, 0.500, 0.204), As at (0.000, 0.000, 0.419) and Br at (0.000, 0.500, 0.762).


Model y:
A relaxed structure of Re2AsBr. Source: Alexandria via LeMat-Bulk, functional GGA-PBE.

As for the density of states at the Fermi level: 2.5 states/eV/f.u.

The space group is R-3m (No. 166, hexagonal axes) and the conventional cell measures 3.0070, 3.0070 and 24.5990 Å, with angles of 90.00, 90.00 and 120.00 degrees. Symmetry generates all atoms from Re at (0.0000, 0.0000, 0.2444), As at (0.0000, 0.0000, 0.5000) and Br at (0.0000, 0.0000, 0.0000).


Model z:
A relaxed structure of Re2AsBr. Source: Alexandria via LeMat-Bulk, functional GGA-PBE.

As for the density of states at the Fermi level: 5.1 states/eV/f.u.

The space group is Pmmm (No. 47) and the conventional cell measures 2.917, 4.308 and 5.386 Å, with angles of 90.00, 90.00 and 90.00 degrees. Symmetry generates all atoms from Re at (0.000, 0.000, 0.000), Re at (0.500, 0.000, 0.500), As at (0.000, 0.500, 0.500) and Br at (0.500, 0.500, 0.000).


Result of the stability comparison: model z is the least stable of them.